Computed, not measured: SiAg2WO after structural relaxation at the PBE with a Hubbard U level of DFT.

Results
- calculated total energy (eV per atom) = -4.30
- density of states at the Fermi level (states/eV per cell) = 1.9

CIF file:
```
data_SiAg2WO
_cell_length_a 5.1436
_cell_length_b 5.1436
_cell_length_c 3.3117
_cell_angle_alpha 90.00
_cell_angle_beta 90.00
_cell_angle_gamma 90.00
_space_group_name_H-M_alt 'P 4/m m m'
_space_group_IT_number 123
_space_group_name_Hall '-P 4 2'
loop_
_atom_site_label
_atom_site_fract_x
_atom_site_fract_y
_atom_site_fract_z
Si1 0.0000 0.0000 0.0000
Ag1 0.0000 0.5000 0.0000
W1 0.5000 0.5000 0.5000
O1 0.0000 0.0000 0.5000
```